An optimized crystal structure of Pm12Dy3Tm, computed with PBE.

a = 5.1198 Å, b = 5.1198 Å, c = 20.4305 Å
α = 90.00°, β = 90.00°, γ = 90.00°
Last column: nearest neighbours and their distance in Å.
Fractional coordinates of all 16 atoms:
Pm: 0.5000 0.5000 0.0000  8 Pm 3.61, 4 Tm 3.62
Pm: 0.5000 0.5000 0.2494  8 Pm 3.62, 4 Dy 3.62
Pm: 0.5000 0.5000 0.5000  8 Pm 3.62, 4 Dy 3.62
Pm: 0.5000 0.5000 0.7506  8 Pm 3.62, 4 Dy 3.62
Pm: 0.5000 0.0000 0.1243  2 Tm 3.61, 8 Pm 3.61-3.62, 2 Dy 3.62
Pm: 0.5000 0.0000 0.3747  4 Dy 3.62, 8 Pm 3.62
Pm: 0.5000 0.0000 0.6253  4 Dy 3.62, 8 Pm 3.62
Pm: 0.5000 0.0000 0.8757  2 Tm 3.61, 8 Pm 3.61-3.62, 2 Dy 3.62
Pm: 0.0000 0.5000 0.1243  2 Tm 3.61, 8 Pm 3.61-3.62, 2 Dy 3.62
Pm: 0.0000 0.5000 0.3747  4 Dy 3.62, 8 Pm 3.62
Pm: 0.0000 0.5000 0.6253  4 Dy 3.62, 8 Pm 3.62
Pm: 0.0000 0.5000 0.8757  2 Tm 3.61, 8 Pm 3.61-3.62, 2 Dy 3.62
Dy: 0.0000 0.0000 0.2494  12 Pm 3.62
Dy: 0.0000 0.0000 0.5000  12 Pm 3.62
Dy: 0.0000 0.0000 0.7506  12 Pm 3.62
Tm: 0.0000 0.0000 0.0000  12 Pm 3.61-3.62

Calculated values
For the volume, the calculation gives 536 Å³/cell. The energy relative to the elements comes out at 1.4 kJ per mole of atoms.